Record 1
This record from Alexandria describes an optimized crystal structure of Er2MnAl8. The functional is PBE-GGA.

Structure (CIF):
```
data_Er2MnAl8
_cell_length_a 4.219
_cell_length_b 4.219
_cell_length_c 11.228
_cell_angle_alpha 90.00
_cell_angle_beta 90.00
_cell_angle_gamma 90.00
_symmetry_space_group_name_H-M 'P 4/m m m'
_symmetry_Int_Tables_number 123
_symmetry_space_group_name_Hall '-P 4 2'
loop_
_atom_site_label
_atom_site_type_symbol
_atom_site_fract_x
_atom_site_fract_y
_atom_site_fract_z
Er1 Er 0.000 0.000 0.192
Mn1 Mn 0.000 0.000 0.500
Al1 Al 0.000 0.500 0.000
Al2 Al 0.000 0.500 0.382
Al3 Al 0.500 0.500 0.190
```

Properties
* DOS at the Fermi energy: 0.55 states/eV per atom
* energy of formation: -33 kJ/mol of atoms
* magnetic moment: 1.2 μB/cell


Record 2
This record from Alexandria describes an optimized crystal structure of ErMn4Al. The functional is PBE-GGA.

Structure (CIF):
```
data_ErMn4Al
_cell_length_a 6.923
_cell_length_b 6.923
_cell_length_c 6.923
_cell_angle_alpha 90.00
_cell_angle_beta 90.00
_cell_angle_gamma 90.00
_symmetry_space_group_name_H-M 'F -4 3 m'
_symmetry_Int_Tables_number 216
_symmetry_space_group_name_Hall 'F -4 2 3'
loop_
_atom_site_label
_atom_site_type_symbol
_atom_site_fract_x
_atom_site_fract_y
_atom_site_fract_z
Er1 Er 0.000 0.000 0.000
Mn1 Mn 0.124 0.124 0.624
Al1 Al 0.250 0.250 0.250
```

Properties
* DOS at the Fermi energy: 1.22 states/eV per atom
* energy of formation: 0 kJ/mol of atoms
* magnetic moment: 5.8 μB/cell


Record 3
This record from Alexandria describes an optimized crystal structure of ErMnAl. The functional is PBE-GGA.

Structure (CIF):
```
data_ErMnAl
_cell_length_a 4.5710
_cell_length_b 4.5710
_cell_length_c 3.3874
_cell_angle_alpha 90.00
_cell_angle_beta 90.00
_cell_angle_gamma 120.00
_symmetry_space_group_name_H-M 'P -6 m 2'
_symmetry_Int_Tables_number 187
_symmetry_space_group_name_Hall 'P -6 2'
loop_
_atom_site_label
_atom_site_type_symbol
_atom_site_fract_x
_atom_site_fract_y
_atom_site_fract_z
Er1 Er 0.0000 0.0000 0.0000
Mn1 Mn 0.3333 0.6667 0.5000
Al1 Al 0.6667 0.3333 0.5000
```

Properties
* DOS at the Fermi energy: 0.50 states/eV per atom
* energy of formation: -13 kJ/mol of atoms
* magnetic moment: 3.5 μB/cell


Record 4
This record from Alexandria describes an optimized crystal structure of ErMnAl11. The functional is PBE-GGA.

Structure (CIF):
```
data_ErMnAl11
_cell_length_a 5.185
_cell_length_b 12.605
_cell_length_c 7.047
_cell_angle_alpha 90.00
_cell_angle_beta 110.24
_cell_angle_gamma 90.00
_symmetry_space_group_name_H-M 'C 1 2/m 1'
_symmetry_Int_Tables_number 12
loop_
_symmetry_equiv_pos_as_xyz
'x,y,z'
'-x,-y,-z'
'-x,y,-z'
'x,-y,z'
'x+1/2,y+1/2,z'
'-x+1/2,-y+1/2,-z'
'-x+1/2,y+1/2,-z'
'x+1/2,-y+1/2,z'
loop_
_atom_site_label
_atom_site_type_symbol
_atom_site_fract_x
_atom_site_fract_y
_atom_site_fract_z
Er1 Er 0.000 0.000 0.000
Mn1 Mn 0.000 0.500 0.500
Al1 Al 0.000 0.000 0.500
Al2 Al 0.105 0.394 0.226
Al3 Al 0.196 0.171 0.362
Al4 Al 0.250 0.250 0.000
```

Properties
* DOS at the Fermi energy: 0.48 states/eV per atom
* energy of formation: -16 kJ/mol of atoms
* magnetic moment: 0.0 μB/cell


Record 5
This record from Alexandria describes an optimized crystal structure of Er2MnAl. The functional is PBE-GGA.

Structure (CIF):
```
data_Er2MnAl
_cell_length_a 3.530
_cell_length_b 3.530
_cell_length_c 7.135
_cell_angle_alpha 90.00
_cell_angle_beta 90.00
_cell_angle_gamma 90.00
_symmetry_space_group_name_H-M 'P 4/m m m'
_symmetry_Int_Tables_number 123
_symmetry_space_group_name_Hall '-P 4 2'
loop_
_atom_site_label
_atom_site_type_symbol
_atom_site_fract_x
_atom_site_fract_y
_atom_site_fract_z
Er1 Er 0.000 0.000 0.240
Mn1 Mn 0.500 0.500 0.000
Al1 Al 0.500 0.500 0.500
```

Properties
* DOS at the Fermi energy: 0.89 states/eV per atom
* energy of formation: -12 kJ/mol of atoms
* magnetic moment: 2.7 μB/cell


Record 6
This record from Alexandria describes an optimized crystal structure of NdErMnAl. The functional is PBE-GGA.

Structure (CIF):
```
data_NdErMnAl
_cell_length_a 7.267
_cell_length_b 7.267
_cell_length_c 7.267
_cell_angle_alpha 90.00
_cell_angle_beta 90.00
_cell_angle_gamma 90.00
_symmetry_space_group_name_H-M 'F -4 3 m'
_symmetry_Int_Tables_number 216
_symmetry_space_group_name_Hall 'F -4 2 3'
loop_
_atom_site_label
_atom_site_type_symbol
_atom_site_fract_x
_atom_site_fract_y
_atom_site_fract_z
Nd1 Nd 0.000 0.000 0.000
Er1 Er 0.000 0.000 0.500
Mn1 Mn 0.250 0.250 0.750
Al1 Al 0.250 0.250 0.250
```

Properties
* DOS at the Fermi energy: 1.10 states/eV per atom
* energy of formation: -4 kJ/mol of atoms
* magnetic moment: 13.0 μB/cell


Record 7
This record from Alexandria describes an optimized crystal structure of Er2MnAl2Ni5. The functional is PBE-GGA.

Structure (CIF):
```
data_Er2MnAl2Ni5
_cell_length_a 9.677
_cell_length_b 9.677
_cell_length_c 3.242
_cell_angle_alpha 90.00
_cell_angle_beta 90.00
_cell_angle_gamma 90.00
_symmetry_space_group_name_H-M 'P 4/m b m'
_symmetry_Int_Tables_number 127
_symmetry_space_group_name_Hall '-P 4 2ab'
loop_
_atom_site_label
_atom_site_type_symbol
_atom_site_fract_x
_atom_site_fract_y
_atom_site_fract_z
Er1 Er 0.175 0.325 0.000
Mn1 Mn 0.000 0.000 0.000
Al1 Al 0.124 0.624 0.000
Ni1 Ni 0.000 0.500 0.500
Ni2 Ni 0.055 0.802 0.500
```

Properties
* DOS at the Fermi energy: 0.61 states/eV per atom
* energy of formation: -30 kJ/mol of atoms
* magnetic moment: 7.6 μB/cell


Record 8
This record from Alexandria describes an optimized crystal structure of Er2Mn2AlNi5. The functional is PBE-GGA.

Structure (CIF):
```
data_Er2Mn2AlNi5
_cell_length_a 9.133
_cell_length_b 9.133
_cell_length_c 3.582
_cell_angle_alpha 90.00
_cell_angle_beta 90.00
_cell_angle_gamma 90.00
_symmetry_space_group_name_H-M 'P 4/m b m'
_symmetry_Int_Tables_number 127
_symmetry_space_group_name_Hall '-P 4 2ab'
loop_
_atom_site_label
_atom_site_type_symbol
_atom_site_fract_x
_atom_site_fract_y
_atom_site_fract_z
Er1 Er 0.179 0.321 0.000
Mn1 Mn 0.121 0.621 0.000
Al1 Al 0.000 0.000 0.000
Ni1 Ni 0.000 0.500 0.500
Ni2 Ni 0.058 0.797 0.500
```

Properties
* DOS at the Fermi energy: 0.65 states/eV per atom
* energy of formation: -22 kJ/mol of atoms
* magnetic moment: 15.9 μB/cell